No. 1
Below is crystalline SbAsAu2 at its relaxed geometry, with properties calculated at the GGA-PBE level.

Results
Space group: No. 8
Calculated total energy (eV for the cell shown): -14.9
Size of the total moment (μB/atom): 0.000
Polymorph energy (0 for the lowest one) (eV/atom): 0.064
Formation energy without anion corrections (kcal/mol of atoms): 2.3

a b c (Å): 4.2896 4.2896 6.2522
angles (deg): 110.39 110.39 59.35
With the nearest neighbours (Å) after each atom.
Element x y z (fractional)
Sb (0.0000, 0.0000, 0.0000)  1 As 2.88, 6 Au 2.90-2.94
As (0.8344, 0.8344, 0.4980)  6 Au 2.77-2.82, 1 Sb 2.88
Au (0.2410, 0.2410, 0.7325)  3 As 2.79-2.82, 3 Sb 2.90-2.91, 1 Au 3.11
Au (0.4252, 0.4252, 0.2760)  3 As 2.77-2.80, 3 Sb 2.93-2.94


No. 2
Below is crystalline Nb2ZnAu at its relaxed geometry, with properties calculated at the GGA-PBE level.

Results
Space group: No. 166
Calculated total energy (eV for the cell shown): -23.4
Size of the total moment (μB/atom): 0.000

a b c (Å): 10.6616 10.6616 10.6616
angles (deg): 15.23 15.23 15.23
With the nearest neighbours (Å) after each atom.
Element x y z (fractional)
Nb (0.0907, 0.0907, 0.0907)  6 Nb 2.83, 1 Au 2.87, 3 Zn 2.90
Nb (0.9093, 0.9093, 0.9093)  6 Nb 2.83, 1 Au 2.87, 3 Zn 2.90
Zn (0.5000, 0.5000, 0.5000)  6 Zn 2.83, 6 Nb 2.90
Au (0.0000, 0.0000, 0.0000)  6 Au 2.83, 2 Nb 2.87


No. 3
Below is crystalline Nd14ThZr at its relaxed geometry, with properties calculated at the GGA-PBE level.

Results
Space group: No. 123
Calculated total energy (eV for the cell shown): -81.8
Size of the total moment (μB/atom): 0.000

a b c (Å): 7.2628 7.2628 10.3504
angles (deg): 90.00 90.00 90.00
With the nearest neighbours (Å) after each atom.
Element x y z (fractional)
Nd (0.0000, 0.0000, 0.0000)  12 Nd 3.63-3.68
Nd (0.0000, 0.5000, 0.0000)  12 Nd 3.63-3.71
Nd (0.0000, 0.5000, 0.5000)  8 Nd 3.58, 2 Zr 3.63, 2 Th 3.63
Nd (0.2462, 0.2462, 0.2586)  1 Zr 3.55, 10 Nd 3.58-3.74, 1 Th 3.61
Nd (0.2462, 0.2462, 0.7414)  1 Zr 3.55, 10 Nd 3.58-3.74, 1 Th 3.61
Nd (0.2462, 0.7538, 0.2586)  1 Zr 3.55, 10 Nd 3.58-3.74, 1 Th 3.61
Nd (0.2462, 0.7538, 0.7414)  1 Zr 3.55, 10 Nd 3.58-3.74, 1 Th 3.61
Nd (0.5000, 0.0000, 0.0000)  12 Nd 3.63-3.71
Nd (0.5000, 0.0000, 0.5000)  8 Nd 3.58, 2 Zr 3.63, 2 Th 3.63
Nd (0.5000, 0.5000, 0.0000)  12 Nd 3.63-3.74
Nd (0.7538, 0.2462, 0.2586)  1 Zr 3.55, 10 Nd 3.58-3.74, 1 Th 3.61
Nd (0.7538, 0.2462, 0.7414)  1 Zr 3.55, 10 Nd 3.58-3.74, 1 Th 3.61
Nd (0.7538, 0.7538, 0.2586)  1 Zr 3.55, 10 Nd 3.58-3.74, 1 Th 3.61
Nd (0.7538, 0.7538, 0.7414)  1 Zr 3.55, 10 Nd 3.58-3.74, 1 Th 3.61
Th (0.5000, 0.5000, 0.5000)  12 Nd 3.61-3.63
Zr (0.0000, 0.0000, 0.5000)  12 Nd 3.55-3.63


No. 4
Below is crystalline Zn2CdPd2 at its relaxed geometry, with properties calculated at the GGA-PBE level.

Results
Space group: No. 127
Calculated total energy (eV for the cell shown): -31.8
Size of the total moment (μB/atom): 0.000
Polymorph energy (0 for the lowest one) (eV/atom): 0.000

a b c (Å): 7.4194 7.4194 2.9092
angles (deg): 90.00 90.00 90.00
With the nearest neighbours (Å) after each atom.
Element x y z (fractional)
Zn (0.1267, 0.3733, 0.0000)  6 Pd 2.59-2.65, 1 Zn 2.66
Zn (0.3733, 0.8733, 0.0000)  6 Pd 2.59-2.65, 1 Zn 2.66
Zn (0.6267, 0.1267, 0.0000)  6 Pd 2.59-2.65, 1 Zn 2.66
Zn (0.8733, 0.6267, 0.0000)  6 Pd 2.59-2.65, 1 Zn 2.66
Cd (0.0000, 0.0000, 0.0000)  2 Cd 2.91, 4 Zn 2.92, 8 Pd 3.12
Cd (0.5000, 0.5000, 0.0000)  2 Cd 2.91, 4 Zn 2.92, 8 Pd 3.12
Pd (0.1689, 0.6689, 0.5000)  6 Zn 2.59-2.65
Pd (0.3311, 0.1689, 0.5000)  6 Zn 2.59-2.65
Pd (0.6689, 0.8311, 0.5000)  6 Zn 2.59-2.65
Pd (0.8311, 0.3311, 0.5000)  6 Zn 2.59-2.65


No. 5
Below is crystalline TlHg9Pb2 at its relaxed geometry, with properties calculated at the GGA-PBE level.

Results
Space group: No. 191
Calculated total energy (eV for the cell shown): -12.2
Size of the total moment (μB/atom): 0.000
Polymorph energy (0 for the lowest one) (eV/atom): 0.000

a b c (Å): 10.7055 10.7055 3.3892
angles (deg): 90.00 90.00 120.00
With the nearest neighbours (Å) after each atom.
Element x y z (fractional)
Tl (0.0000, 0.0000, 0.0000)  2 Tl 3.39, 12 Hg 3.56
Hg (0.0000, 0.5000, 0.0000)  2 Pb 3.09, 2 Hg 3.39
Hg (0.1687, 0.3375, 0.5000)  4 Hg 3.13-3.39, 2 Pb 3.49
Hg (0.1687, 0.8313, 0.5000)  4 Hg 3.13-3.39, 2 Pb 3.49
Hg (0.3375, 0.1687, 0.5000)  4 Hg 3.13-3.39, 2 Pb 3.49
Hg (0.5000, 0.0000, 0.0000)  2 Pb 3.09, 2 Hg 3.39
Hg (0.5000, 0.5000, 0.0000)  2 Pb 3.09, 2 Hg 3.39
Hg (0.6625, 0.8313, 0.5000)  4 Hg 3.13-3.39, 2 Pb 3.49
Hg (0.8313, 0.1687, 0.5000)  4 Hg 3.13-3.39, 2 Pb 3.49
Hg (0.8313, 0.6625, 0.5000)  4 Hg 3.13-3.39, 2 Pb 3.49
Pb (0.3333, 0.6667, 0.0000)  3 Hg 3.09, 2 Pb 3.39
Pb (0.6667, 0.3333, 0.0000)  3 Hg 3.09, 2 Pb 3.39


No. 6
Below is crystalline TlSiAu2 at its relaxed geometry, with properties calculated at the GGA-PBE level.

Results
Space group: No. 12
Calculated total energy (eV for the cell shown): -13.2
Size of the total moment (μB/atom): 0.000
Polymorph energy (0 for the lowest one) (eV/atom): 0.315
Formation energy without anion corrections (kcal/mol of atoms): 6.5

a b c (Å): 4.7239 4.7239 4.4710
angles (deg): 105.38 105.38 105.60
With the nearest neighbours (Å) after each atom.
Element x y z (fractional)
Tl (0.0000, 0.0000, 0.0000)  4 Au 2.79, 2 Si 2.86
Si (0.5000, 0.5000, 0.0000)  4 Au 2.79, 2 Tl 2.86
Au (0.0000, 0.5000, 0.5000)  2 Tl 2.79, 2 Si 2.79, 2 Au 2.86
Au (0.5000, 0.0000, 0.5000)  2 Tl 2.79, 2 Si 2.79, 2 Au 2.86


No. 7
Below is crystalline NiHgP2 at its relaxed geometry, with properties calculated at the GGA-PBE level.

Results
Space group: No. 216
Calculated total energy (eV for the cell shown): -14.1
Size of the total moment (μB/atom): 0.000

a b c (Å): 4.5061 4.5061 4.5061
angles (deg): 60.00 60.00 60.00
With the nearest neighbours (Å) after each atom.
Element x y z (fractional)
Ni (0.0000, 0.0000, 0.0000)  4 Hg 2.76, 4 P 2.76
Hg (0.7500, 0.7500, 0.7500)  4 P 2.76, 4 Ni 2.76
P (0.2500, 0.2500, 0.2500)  4 P 2.76, 4 Ni 2.76
P (0.5000, 0.5000, 0.5000)  4 Hg 2.76, 4 P 2.76


No. 8
Below is crystalline BaSrAl2 at its relaxed geometry, with properties calculated at the GGA-PBE level.

Results
Space group: No. 38
Calculated total energy (eV for the cell shown): -11.7
Size of the total moment (μB/atom): 0.000
Polymorph energy (0 for the lowest one) (eV/atom): 0.052

a b c (Å): 4.6145 6.6716 6.6716
angles (deg): 44.73 90.00 90.00
With the nearest neighbours (Å) after each atom.
Element x y z (fractional)
Ba (0.0000, 0.0000, 0.0000)  7 Al 3.57-3.67
Sr (0.5000, 0.2849, 0.2849)  7 Al 3.46-3.82
Al (0.0000, 0.7029, 0.7029)  2 Al 2.67
Al (0.5000, 0.5947, 0.5947)  2 Al 2.67


No. 9
Below is crystalline FeTc2GeC at its relaxed geometry, with properties calculated at the GGA-PBE level.

Results
Space group: No. 123
Calculated total energy (eV for the cell shown): -42.5
Size of the total moment (μB/atom): 0.333

a b c (Å): 4.1015 4.1015 3.7346
angles (deg): 90.00 90.00 90.00
With the nearest neighbours (Å) after each atom.
Element x y z (fractional)
Fe (0.0000, 0.0000, 0.0000)  2 C 1.87
Tc (0.0000, 0.5000, 0.5000)  2 C 2.05
Tc (0.5000, 0.0000, 0.5000)  2 C 2.05
Ge (0.5000, 0.5000, 0.0000)  8 Tc 2.77, 4 Fe 2.90
C (0.0000, 0.0000, 0.5000)  2 Fe 1.87, 4 Tc 2.05


No. 10
Below is crystalline Pr2Dy4ErMg at its relaxed geometry, with properties calculated at the GGA-PBE level.

Results
Space group: No. 123
Calculated total energy (eV for the cell shown): -33.9
Size of the total moment (μB/atom): 0.000

a b c (Å): 4.9937 4.9937 10.1446
angles (deg): 90.00 90.00 90.00
With the nearest neighbours (Å) after each atom.
Element x y z (fractional)
Pr (0.0000, 0.0000, 0.0000)  4 Mg 3.53, 8 Dy 3.56
Pr (0.5000, 0.5000, 0.5000)  4 Er 3.53, 8 Dy 3.56
Dy (0.0000, 0.5000, 0.2498)  4 Dy 3.53, 4 Pr 3.56, 2 Mg 3.56, 2 Er 3.56
Dy (0.0000, 0.5000, 0.7502)  4 Dy 3.53, 4 Pr 3.56, 2 Mg 3.56, 2 Er 3.56
Dy (0.5000, 0.0000, 0.2498)  4 Dy 3.53, 4 Pr 3.56, 2 Mg 3.56, 2 Er 3.56
Dy (0.5000, 0.0000, 0.7502)  4 Dy 3.53, 4 Pr 3.56, 2 Mg 3.56, 2 Er 3.56
Er (0.0000, 0.0000, 0.5000)  4 Pr 3.53, 8 Dy 3.56
Mg (0.5000, 0.5000, 0.0000)  4 Pr 3.53, 8 Dy 3.56